1.
This record from the Alexandria database describes a relaxed CoAs2Cl crystal. The functional is GGA-PBEsol.

Calculated values
Fermi-level density of states   2.75 states/eV/f.u.
Space group   Immm
Offset from the most stable computed form   296 meV per atom
Formation energy from raw total energies   0.191 eV/atom

Unit cell a=2.8675 b=4.2767 c=5.8899 alpha=111.29 beta=104.09 gamma=90.00
Fractional positions:
As1 0.3126 0.3126 0.6253
As2 0.6874 0.6874 0.3747
Cl1 0.5000 0.0000 0.0000
Co1 0.0000 0.5000 0.0000

---

2.
This record from the Alexandria database describes a relaxed CoAs2Cl crystal. The functional is GGA-PBEsol.

Calculated values
Fermi-level density of states   2.41 states/eV/f.u.
Space group   Imm2
Offset from the most stable computed form   110 meV per atom
Formation energy from raw total energies   0.005 eV/atom

Unit cell a=3.1388 b=3.8109 c=6.5840 alpha=106.82 beta=103.79 gamma=90.00
Fractional positions:
As1 0.7669 0.2669 0.5339
As2 0.9014 0.9014 0.8029
Co1 0.2450 0.7450 0.4901
Cl1 0.5866 0.5866 0.1732

---

3.
This record from the Alexandria database describes a relaxed CrAsCl2 crystal. The functional is GGA-PBEsol.

Calculated values
Fermi-level density of states   1.83 states/eV/f.u.
Space group   I-42d
Offset from the most stable computed form   33 meV per atom
Formation energy from raw total energies   -0.140 eV/atom

Unit cell a=8.4046 b=6.3829 c=8.4046 alpha=48.82 beta=90.00 gamma=131.18
Last column: magnetic moment on the atom in μB.
Fractional positions:
Cl1 0.8750 0.2500 0.4854  -0.05
Cl2 0.4854 0.7500 0.3750  -0.05
Cl3 0.2646 0.7500 0.8750  -0.05
Cl4 0.3750 0.2500 0.2646  -0.05
As1 0.0000 0.0000 0.0000  -0.37
As2 0.7500 0.5000 0.7500  -0.37
Cr1 0.2500 0.5000 0.2500  2.02
Cr2 0.5000 0.0000 0.5000  2.02